1.
Density functional theory data (SCAN) for a crystal of Pb3Cl relaxed with PBEsol.

Geometry as POSCAR:
```
Pb3Cl
1.0
0.0000 3.7803 3.7803
3.7803 0.0000 3.7803
3.7803 3.7803 0.0000
Pb Cl
3 1
Direct
0.0000 0.0000 0.0000
0.2500 0.2500 0.2500
0.7500 0.7500 0.7500
0.5000 0.5000 0.5000
```

Values from the calculation:
E_form (uncorrected)   -0.2751 eV per atom
Total energy   -59.11 eV per atom

2.
Density functional theory data (SCAN) for a crystal of PbCl3 relaxed with PBEsol.

Geometry as POSCAR:
```
PbCl3
1.0
-1.8936 2.3889 5.3565
1.8936 -2.3889 5.3565
1.8936 2.3889 -5.3565
Pb Cl
1 3
Direct
0.0000 0.0000 0.0000
0.2048 0.7048 0.5000
0.5000 0.5000 0.0000
0.7952 0.2952 0.5000
```

Values from the calculation:
E_form (uncorrected)   -0.6284 eV per atom
Total energy   -25.56 eV per atom

3.
Density functional theory data (SCAN) for a crystal of PbCl3 relaxed with PBEsol.

Geometry as POSCAR:
```
PbCl3
1.0
5.2929 0.0000 0.0000
0.0000 5.2929 0.0000
0.0000 0.0000 5.2929
Pb Cl
1 3
Direct
0.0000 0.0000 0.0000
0.0000 0.0000 0.5000
0.0000 0.5000 0.0000
0.5000 0.0000 0.0000
```

Values from the calculation:
E_form (uncorrected)   -0.7426 eV per atom
Total energy   -25.67 eV per atom

4.
Density functional theory data (SCAN) for a crystal of PbCl3 relaxed with PBEsol.

Geometry as POSCAR:
```
PbCl3
1.0
4.3186 0.0000 0.0000
0.0000 5.2509 0.0000
0.0000 0.0000 9.5302
Pb Cl
2 6
Direct
0.2500 0.2500 0.1751
0.7500 0.7500 0.8249
0.2500 0.0043 0.6633
0.2500 0.4957 0.6633
0.2500 0.7500 0.0366
0.7500 0.2500 0.9634
0.7500 0.5043 0.3367
0.7500 0.9957 0.3367
```

Values from the calculation:
E_form (uncorrected)   -0.8281 eV per atom
Total energy   -25.76 eV per atom

5.
Density functional theory data (SCAN) for a crystal of RbPd2PbCl relaxed with PBEsol.

Geometry as POSCAR:
```
RbPd2PbCl
1.0
5.0628 0.0000 0.0000
0.0000 5.0628 0.0000
0.0000 0.0000 5.5224
Rb Pd Pb Cl
1 2 1 1
Direct
0.0000 0.0000 0.0000
0.0000 0.5000 0.0000
0.5000 0.0000 0.0000
0.5000 0.5000 0.5000
0.0000 0.0000 0.5000
```

Values from the calculation:
E_form (uncorrected)   0.7073 eV per atom
Total energy   -33.30 eV per atom

6.
Density functional theory data (SCAN) for a crystal of PtPbCl relaxed with PBEsol.

Geometry as POSCAR:
```
PtPbCl
1.0
0.0000 3.2562 3.2562
3.2562 0.0000 3.2562
3.2562 3.2562 0.0000
Pt Pb Cl
1 1 1
Direct
0.0000 0.0000 0.0000
0.7500 0.7500 0.7500
0.2500 0.2500 0.2500
```

Values from the calculation:
E_form (uncorrected)   -0.0681 eV per atom
Total energy   -51.39 eV per atom

7.
Density functional theory data (SCAN) for a crystal of PtPbCl2 relaxed with PBEsol.

Geometry as POSCAR:
```
PtPbCl2
1.0
4.5189 0.0000 0.0000
0.0000 4.5189 0.0000
0.0000 0.0000 3.9664
Pt Pb Cl
1 1 2
Direct
0.0000 0.0000 0.0000
0.5000 0.5000 0.0000
0.0000 0.5000 0.5000
0.5000 0.0000 0.5000
```

Values from the calculation:
E_form (uncorrected)   0.1062 eV per atom
Total energy   -40.38 eV per atom

8.
Density functional theory data (SCAN) for a crystal of PtPbCl2 relaxed with PBEsol.

Geometry as POSCAR:
```
PtPbCl2
1.0
1.7377 1.0032 8.0722
-1.7377 1.0032 8.0722
0.0000 -2.0065 8.0722
Pt Pb Cl
1 1 2
Direct
0.0000 0.0000 0.0000
0.5000 0.5000 0.5000
0.2682 0.2682 0.2682
0.7318 0.7318 0.7318
```

Values from the calculation:
E_form (uncorrected)   0.0647 eV per atom
Total energy   -40.42 eV per atom

9.
Density functional theory data (SCAN) for a crystal of PtPb3Cl relaxed with PBEsol.

Geometry as POSCAR:
```
PtPb3Cl
1.0
5.3617 0.0000 0.0000
0.0000 5.3617 0.0000
0.0000 0.0000 5.3617
Pt Pb Cl
1 3 1
Direct
0.0000 0.0000 0.0000
0.0000 0.0000 0.5000
0.0000 0.5000 0.0000
0.5000 0.0000 0.0000
0.5000 0.5000 0.5000
```

Values from the calculation:
E_form (uncorrected)   -0.0781 eV per atom
Total energy   -61.18 eV per atom

10.
Density functional theory data (SCAN) for a crystal of PtPbCl2 relaxed with PBEsol.

Geometry as POSCAR:
```
PtPbCl2
1.0
3.0139 -4.3077 0.0000
3.0139 4.3077 0.0000
-2.9891 0.0000 3.3556
Pt Pb Cl
1 1 2
Direct
0.0000 0.0000 0.0000
0.5000 0.5000 0.0000
0.0000 0.5000 0.5000
0.5000 0.0000 0.5000
```

Values from the calculation:
E_form (uncorrected)   -0.0999 eV per atom
Total energy   -40.58 eV per atom

11.
Density functional theory data (SCAN) for a crystal of PtPbCl2 relaxed with PBEsol.

Geometry as POSCAR:
```
PtPbCl2
1.0
-1.9891 1.9891 5.1967
1.9891 -1.9891 5.1967
1.9891 1.9891 -5.1967
Pt Pb Cl
1 1 2
Direct
0.0000 0.0000 0.0000
0.2500 0.7500 0.5000
0.5000 0.5000 0.0000
0.7500 0.2500 0.5000
```

Values from the calculation:
E_form (uncorrected)   0.0137 eV per atom
Total energy   -40.47 eV per atom

12.
Density functional theory data (SCAN) for a crystal of PtPbSCl2 relaxed with PBEsol.

Geometry as POSCAR:
```
PtPbSCl2
1.0
4.7507 0.0000 0.0000
0.0000 4.7507 0.0000
0.0000 0.0000 4.8383
Pt Pb S Cl
1 1 1 2
Direct
0.0000 0.0000 0.0000
0.5000 0.5000 0.5000
0.0000 0.0000 0.5000
0.0000 0.5000 0.0000
0.5000 0.0000 0.0000
```

Values from the calculation:
E_form (uncorrected)   -0.3220 eV per atom
Total energy   -34.63 eV per atom

Question: The lowest E_form (uncorrected) belongs to which entry?
Answer: number 4